(1)
Here is a relaxed SrZrMnGe2 crystal from the Alexandria database. Energies are from PBE-GGA.

Unit cell a=5.2346 b=5.0133 c=5.2346 alpha=90.00 beta=90.00 gamma=90.00
Last column: magnetic moment on the atom in μB.
Element x y z (fractional)
Sr1 0.5000 0.5000 0.5000  0.02
Ge1 0.0000 0.0000 0.5000  0.00
Ge2 0.5000 0.0000 0.0000  0.05
Mn1 0.0000 0.5000 0.0000  3.70
Zr1 0.0000 0.0000 0.0000  -0.30

## Properties
* symmetry: P4/mmm, No. 123
* DOS(E_F): 0.749 states/eV per atom
* crystal system: tetragonal
* total energy: -5.5404 eV/atom
* magnetic moment: 3.88 μB per formula unit



(2)
Here is a relaxed RbNiBi2 crystal from the Alexandria database. Energies are from PBE-GGA.

Unit cell a=3.5314 b=3.5314 c=9.1517 alpha=90.00 beta=90.00 gamma=90.00
Element x y z (fractional)
Ni1 0.5000 0.5000 0.0000
Bi1 0.0000 0.0000 0.8286
Bi2 0.0000 0.0000 0.1714
Rb1 0.5000 0.5000 0.5000

## Properties
* symmetry: P4/mmm, No. 123
* DOS(E_F): 1.028 states/eV per atom
* crystal system: tetragonal
* total energy: -3.5479 eV/atom
* magnetic moment: 0.00 μB per formula unit



(3)
Here is a relaxed La2SmTlO crystal from the Alexandria database. Energies are from PBE-GGA.

Unit cell a=4.9595 b=5.0783 c=5.0783 alpha=90.00 beta=90.00 gamma=90.00
Element x y z (fractional)
La1 0.0000 0.0000 0.5000
La2 0.0000 0.5000 0.0000
Sm1 0.5000 0.0000 0.0000
Tl1 0.5000 0.5000 0.5000
O1 0.0000 0.0000 0.0000

## Properties
* symmetry: P4/mmm, No. 123
* energy relative to the elements, uncorrected: -6.86 eV per formula unit
* DOS(E_F): 0.529 states/eV per atom
* crystal system: tetragonal
* magnetic moment: 0.00 μB per formula unit



(4)
Here is a relaxed TaGaSbOs2 crystal from the Alexandria database. Energies are from PBE-GGA.

Unit cell a=4.5259 b=4.8823 c=4.5259 alpha=90.00 beta=90.00 gamma=90.00
Element x y z (fractional)
Sb1 0.0000 0.5000 0.0000
Os1 0.0000 0.0000 0.5000
Os2 0.5000 0.0000 0.0000
Ga1 0.0000 0.0000 0.0000
Ta1 0.5000 0.5000 0.5000

## Properties
* symmetry: P4/mmm, No. 123
* energy relative to the elements, uncorrected: 8.44 eV per formula unit
* DOS(E_F): 0.905 states/eV per atom
* crystal system: tetragonal
* magnetic moment: 0.00 μB per formula unit



(5)
Here is a relaxed ReMo2Pd crystal from the Alexandria database. Energies are from PBE-GGA.

Unit cell a=3.9187 b=3.9517 c=3.9517 alpha=90.00 beta=90.00 gamma=90.00
Element x y z (fractional)
Re1 0.5000 0.5000 0.5000
Mo1 0.0000 0.0000 0.5000
Mo2 0.0000 0.5000 0.0000
Pd1 0.5000 0.0000 0.0000

## Properties
* symmetry: P4/mmm, No. 123
* DOS(E_F): 0.581 states/eV per atom
* crystal system: tetragonal
* total energy: -9.7719 eV/atom
* magnetic moment: 0.00 μB per formula unit



(6)
Here is a relaxed TlFeAs crystal from the Alexandria database. Energies are from PBE-GGA.

Unit cell a=3.1222 b=9.9181 c=7.7643 alpha=90.00 beta=90.00 gamma=90.00
Element x y z (fractional)
Tl1 0.0000 0.5189 0.7333
Tl2 0.0000 0.4811 0.2333
Tl3 0.5000 0.0189 0.7333
Tl4 0.5000 0.9811 0.2333
As1 0.0000 0.2524 0.9681
As2 0.0000 0.7476 0.4681
As3 0.5000 0.7524 0.9681
As4 0.5000 0.2476 0.4681
Fe1 0.0000 0.7954 0.7601
Fe2 0.0000 0.2046 0.2601
Fe3 0.5000 0.2954 0.7601
Fe4 0.5000 0.7046 0.2601

## Properties
* symmetry: Cmc2_1, No. 36
* DOS(E_F): 0.168 states/eV per atom
* crystal system: orthorhombic
* total energy: -4.9613 eV/atom
* magnetic moment: 0.00 μB per formula unit



(7)
Here is a relaxed CaZrCd2 crystal from the Alexandria database. Energies are from PBE-GGA.

Unit cell a=5.8876 b=5.8876 c=5.8876 alpha=135.79 beta=135.79 gamma=64.31
Element x y z (fractional)
Ca1 0.7500 0.2500 0.5000
Zr1 0.5000 0.5000 0.0000
Cd1 0.0000 0.0000 0.0000
Cd2 0.2500 0.7500 0.5000

## Properties
* symmetry: I-4m2, No. 119
* DOS(E_F): 1.127 states/eV per atom
* crystal system: tetragonal
* total energy: -3.0223 eV/atom
* magnetic moment: 0.00 μB per formula unit



(8)
Here is a relaxed Zr2Sb crystal from the Alexandria database. Energies are from PBE-GGA.

Unit cell a=4.1395 b=4.1396 c=8.5039 alpha=104.00 beta=104.00 gamma=90.01
Element x y z (fractional)
Sb1 0.1380 0.1380 0.2772
Sb2 0.8620 0.8620 0.7228
Zr1 0.6763 0.6763 0.3543
Zr2 0.5000 0.0000 0.0000
Zr3 0.3237 0.3237 0.6457
Zr4 0.0000 0.5000 0.0000

## Properties
* symmetry: C2/m, No. 12
* energy relative to the elements, uncorrected: -1.93 eV per formula unit
* DOS(E_F): 0.798 states/eV per atom
* crystal system: monoclinic
* magnetic moment: 0.00 μB per formula unit



(9)
Here is a relaxed Sr2Mg2Tl crystal from the Alexandria database. Energies are from PBE-GGA.

Unit cell a=4.1695 b=4.1695 c=10.7029 alpha=78.77 beta=78.77 gamma=90.00
Element x y z (fractional)
Sr1 0.4034 0.4034 0.1932
Sr2 0.5966 0.5966 0.8068
Tl1 0.0000 0.0000 0.0000
Mg1 0.7500 0.2500 0.5000
Mg2 0.2500 0.7500 0.5000

## Properties
* symmetry: I4/mmm, No. 139
* DOS(E_F): 0.720 states/eV per atom
* crystal system: tetragonal
* total energy: -1.8451 eV/atom
* magnetic moment: 0.00 μB per formula unit



(10)
Here is a relaxed VN crystal from the Alexandria database. Energies are from PBE-GGA.

Unit cell a=6.0454 b=6.0454 c=6.0454 alpha=90.00 beta=90.00 gamma=90.00
Element x y z (fractional)
V1 0.3434 0.3434 0.3434
V2 0.3434 0.6566 0.6566
V3 0.6566 0.3434 0.6566
V4 0.6566 0.6566 0.3434
V5 0.8434 0.8434 0.8434
V6 0.8434 0.1566 0.1566
V7 0.1566 0.8434 0.1566
V8 0.1566 0.1566 0.8434
N1 0.1634 0.1634 0.1634
N2 0.1634 0.8366 0.8366
N3 0.8366 0.1634 0.8366
N4 0.8366 0.8366 0.1634
N5 0.6634 0.6634 0.6634
N6 0.6634 0.3366 0.3366
N7 0.3366 0.6634 0.3366
N8 0.3366 0.3366 0.6634

## Properties
* symmetry: I-43m, No. 217
* energy relative to the elements, uncorrected: -1.39 eV per formula unit
* DOS(E_F): 0.573 states/eV per atom
* crystal system: cubic
* magnetic moment: 0.00 μB per formula unit



(11)
Here is a relaxed V4IrPt12 crystal from the Alexandria database. Energies are from PBE-GGA.

Unit cell a=7.1377 b=7.1377 c=7.1377 alpha=109.47 beta=109.47 gamma=109.47
Last column: magnetic moment on the atom in μB.
Element x y z (fractional)
V1 0.0000 0.0000 0.5000  2.00
V2 0.5000 0.0000 0.0000  2.00
V3 0.5000 0.5000 0.5000  2.00
V4 0.0000 0.5000 0.0000  2.00
Ir1 0.0000 0.0000 0.0000  0.70
Pt1 0.0000 0.2959 0.2959  -0.05
Pt2 0.0000 0.7041 0.7041  -0.05
Pt3 0.7041 0.7041 0.0000  -0.05
Pt4 0.2959 0.2959 0.0000  -0.05
Pt5 0.2959 0.0000 0.2959  -0.05
Pt6 0.7041 0.0000 0.7041  -0.05
Pt7 0.5000 0.2500 0.7500  -0.12
Pt8 0.5000 0.7500 0.2500  -0.12
Pt9 0.7500 0.2500 0.5000  -0.12
Pt10 0.2500 0.7500 0.5000  -0.12
Pt11 0.7500 0.5000 0.2500  -0.12
Pt12 0.2500 0.5000 0.7500  -0.12

## Properties
* symmetry: Im-3m, No. 229
* DOS(E_F): 1.143 states/eV per atom
* crystal system: cubic
* total energy: -6.9261 eV/atom
* magnetic moment: 8.86 μB per formula unit



(12)
Here is a relaxed CsYMnTe3 crystal from the Alexandria database. Energies are from PBE-GGA.

Unit cell a=4.5209 b=10.3151 c=10.9520 alpha=111.89 beta=90.00 gamma=90.00
Last column: magnetic moment on the atom in μB.
Element x y z (fractional)
Cs1 0.2500 0.2156 0.2447  0.00
Cs2 0.7500 0.7844 0.7553  0.00
Y1 0.2500 0.6682 0.1374  0.04
Y2 0.7500 0.3318 0.8626  0.04
Mn1 0.2500 0.0847 0.6085  4.19
Mn2 0.7500 0.9153 0.3915  4.19
Te1 0.7500 0.8786 0.1370  0.04
Te2 0.2500 0.1214 0.8630  0.04
Te3 0.2500 0.7972 0.4555  0.08
Te4 0.7500 0.2028 0.5445  0.08
Te5 0.7500 0.4750 0.1619  0.02
Te6 0.2500 0.5250 0.8381  0.02

## Properties
* symmetry: P2_1/m, No. 11
* energy relative to the elements, uncorrected: -5.99 eV per formula unit
* DOS(E_F): 0.042 states/eV per atom
* crystal system: monoclinic
* magnetic moment: 5.01 μB per formula unit